# PBE+U FeF, optimized geometry
# Calculated volume (Å³/cell): 158
# Calculated total energy (eV/atom): -5.04
# Total moment (μB per formula unit): 3.65
data_FeF
_chemical_formula_sum 'Fe6 F6'
_space_group_name_H-M_alt 'P m m n'
_space_group_IT_number 59
_cell_length_a 2.979
_cell_length_b 10.216
_cell_length_c 5.197
_cell_angle_alpha 90.00
_cell_angle_beta 90.00
_cell_angle_gamma 90.00
loop_
_space_group_symop_operation_xyz
'x,y,z'
'-x,-y,-z'
'-x+1/2,-y+1/2,z'
'x+1/2,y+1/2,-z'
'x+1/2,-y,-z'
'-x+1/2,y,z'
'-x,y+1/2,-z'
'x,-y+1/2,z'
loop_
_atom_site_label
_atom_site_type_symbol
_atom_site_fract_x
_atom_site_fract_y
_atom_site_fract_z
Fe1 Fe 0.250 0.048 0.203
Fe2 Fe 0.250 0.750 0.179
F1 F 0.250 0.250 0.146
F2 F 0.250 0.612 0.485